Entry from Alexandria: an optimized crystal structure of RbSrBr3 (PBE).

Calculated values
* total moment: 0.00 μB/cell
* uncorrected formation energy: -1985 meV/atom

Cell lengths 8.589, 4.727, 18.412 Å; angles 90.00, 90.00, 90.00 degrees
Space group Pnma (No. 62)
Asymmetric unit:
Rb 0.132 0.250 0.202 [4 per cell]
Sr 0.230 0.750 0.458 [4 per cell]
Br 0.011 0.250 0.410 [4 per cell]
Br 0.135 0.750 0.049 [4 per cell]
Br 0.169 0.250 0.800 [4 per cell]